(1)
Here is Nd3Y7Sc after structural relaxation from Alexandria via LeMat-Bulk. Energies are from PBE.

Results
For the volume, the calculation gives 34.115 Å³ per atom. The value obtained for the energy above the most stable polymorph in this dataset is 76 meV per atom. The formation energy from the elements comes out at 260 meV/atom. For the total DFT energy (no corrections), the calculation gives -5.73 eV per atom.

POSCAR file:
```
Nd3Y7Sc
1.0
6.3664 -0.0468 0.3555
0.3398 7.6352 0.9860
-0.0914 -0.0525 7.7058
Nd Y Sc
3 7 1
Cartesian
6.6320 6.2650 2.4983 Nd
3.1832 -0.0234 0.1777 Nd
-0.0171 1.2709 6.5490 Nd
5.0655 1.8095 2.3958 Y
4.9241 6.8218 5.5275 Y
1.8347 3.2801 1.2768 Y
4.7801 4.2558 7.7704 Y
0.1242 3.7913 4.3459 Y
1.6908 0.7141 3.5197 Y
1.5493 5.7264 6.6515 Y
3.3074 3.7680 4.5236 Sc
```

=====

(2)
Here is Nd4Y3Sc after structural relaxation from Alexandria via LeMat-Bulk. Energies are from PBE.

Results
For the volume, the calculation gives 33.251 Å³ per atom. The value obtained for the energy above the most stable polymorph in this dataset is 194 meV per atom. The formation energy from the elements comes out at 238 meV/atom. For the total DFT energy (no corrections), the calculation gives -5.36 eV per atom.

POSCAR file:
```
Nd4Y3Sc
1.0
-2.1470 0.0083 2.7017
3.4285 -4.3203 2.7379
7.3626 9.6728 3.6173
Y Sc Nd
3 1 4
Cartesian
1.7143 -2.1602 1.3690 Y
4.3233 -0.4603 3.4371 Y
4.3208 5.8212 5.6198 Y
-1.0735 0.0042 1.3508 Sc
2.5107 3.2283 4.1892 Nd
6.1334 2.1325 4.8677 Nd
2.0632 0.9919 1.6366 Nd
6.5809 4.3689 7.4203 Nd
```

=====

(3)
Here is Nd3Y4Sc after structural relaxation from Alexandria via LeMat-Bulk. Energies are from PBE.

Results
For the volume, the calculation gives 32.688 Å³ per atom. The value obtained for the energy above the most stable polymorph in this dataset is 0 meV per atom. The formation energy from the elements comes out at 28 meV/atom. For the total DFT energy (no corrections), the calculation gives -5.78 eV per atom.

POSCAR file:
```
Nd3Y4Sc
1.0
-0.2040 -2.9492 -5.5413
4.5551 -5.1063 2.5500
-8.9053 -6.1466 3.5991
Nd Y Sc
6 8 2
Cartesian
2.7139 -5.1058 -2.0046 Nd
0.4033 -7.5951 -2.9293 Nd
-0.5975 -4.8743 -0.7813 Nd
-2.7744 -5.4292 1.9287 Nd
-5.0557 -7.9514 1.0205 Nd
-4.0439 -10.6646 -1.1320 Nd
3.9470 -4.8978 1.4016 Y
0.4371 -2.5367 -3.2507 Y
-1.8075 -5.0521 -4.2674 Y
1.6095 -7.4720 0.4540 Y
-0.4954 -7.9672 3.2331 Y
-4.0072 -5.6346 -1.4727 Y
-2.7447 -10.4773 2.2137 Y
-6.3586 -8.1933 -2.4281 Y
1.6599 -2.3227 0.1404 Sc
-1.7188 -8.1888 -0.1724 Sc
```

=====

(4)
Here is NdY7Sc4 after structural relaxation from Alexandria via LeMat-Bulk. Energies are from PBE.

Results
For the volume, the calculation gives 30.169 Å³ per atom. The formation energy from the elements comes out at 107 meV/atom. For the total DFT energy (no corrections), the calculation gives -6.17 eV per atom.

POSCAR file:
```
NdY7Sc4
1.0
-3.1512 0.8741 -5.6332
-5.5331 -2.5320 2.0089
-7.5274 7.8566 -2.0866
Nd Y Sc
1 7 4
Cartesian
0.0000 0.0000 0.0000 Nd
-12.5076 6.7941 -5.4336 Y
-3.7041 -0.5954 -0.2772 Y
-6.5168 4.2138 -0.9341 Y
-9.6949 1.9849 -4.7767 Y
-9.7851 2.8733 -1.1368 Y
-1.5756 0.4371 -2.8166 Y
-6.4266 3.3254 -4.5741 Y
-7.3025 1.1120 -2.4014 Sc
-8.9092 5.0867 -3.3095 Sc
-12.0244 4.0009 -3.4470 Sc
-4.1873 2.1978 -2.2639 Sc
```